Entry 1:
Entry from Alexandria via LeMat-Bulk: Ni2SbPt after structural relaxation (PBE-GGA).

a = 4.656 Å, b = 4.656 Å, c = 8.149 Å
α = 116.64°, β = 116.64°, γ = 50.52°
Element x y z (fractional)
Ni1 0.000 0.000 0.000
Ni2 0.000 0.000 0.500
Ni3 0.484 0.484 0.745
Ni4 0.516 0.516 0.255
Sb1 0.255 0.255 0.347
Sb2 0.745 0.745 0.653
Pt1 0.244 0.244 0.880
Pt2 0.756 0.756 0.120

***

Entry 2:
Entry from Alexandria via LeMat-Bulk: Ni2Sb2Pt after structural relaxation (PBE-GGA).

a = 7.372 Å, b = 7.372 Å, c = 3.158 Å
α = 90.00°, β = 90.00°, γ = 90.00°
Element x y z (fractional)
Ni1 0.124 0.376 0.000
Ni2 0.376 0.876 0.000
Ni3 0.624 0.124 0.000
Ni4 0.876 0.624 0.000
Sb1 0.169 0.669 0.500
Sb2 0.331 0.169 0.500
Sb3 0.669 0.831 0.500
Sb4 0.831 0.331 0.500
Pt1 0.000 0.000 0.500
Pt2 0.500 0.500 0.500

Results
Polymorph energy (0 for the lowest one) (meV per atom): 147

***

Entry 3:
Entry from Alexandria via LeMat-Bulk: Ni2SbPt after structural relaxation (PBE-GGA).

a = 3.951 Å, b = 3.951 Å, c = 3.690 Å
α = 90.00°, β = 90.00°, γ = 90.00°
Element x y z (fractional)
Ni1 0.000 0.500 0.000
Ni2 0.500 0.000 0.000
Sb1 0.000 0.000 0.500
Pt1 0.500 0.500 0.500

***

Calculated total energy in eV per cell, matching the order above: -44.260; -51.304; -22.439
Fermi-level density of states in states/eV per cell, matching the order above: 8.4; 7.5; 2.5